Version a
First-principles (PBE) data for a relaxed structure of NaP2ICl, as listed in the Alexandria database.

Lattice parameters (Å, degrees): 5.2676 5.2676 4.8139 90.00 90.00 90.00
Fractional positions:
Na (0.0000, 0.0000, 0.0000)
P (0.0000, 0.5000, 0.0000)
P (0.5000, 0.0000, 0.0000)
I (0.5000, 0.5000, 0.5000)
Cl (0.0000, 0.0000, 0.5000)

Computed properties:
- magnetic moment (μB per formula unit) = 1.37
- calculated volume (A^3/atom) = 26.71
- space group = P4/mmm
- theoretical density (g/cm³) = 3.074

=====

Version b
First-principles (PBE) data for a relaxed structure of NaP2ICl, as listed in the Alexandria database.

Lattice parameters (Å, degrees): 5.0923 5.0923 6.9585 90.00 90.00 90.00
Fractional positions:
Na (0.0000, 0.0000, 0.0000)
P (0.0000, 0.5000, 0.5000)
P (0.5000, 0.0000, 0.5000)
I (0.5000, 0.5000, 0.5000)
Cl (0.5000, 0.5000, 0.0000)

Computed properties:
- magnetic moment (μB per formula unit) = 0.26
- calculated volume (A^3/atom) = 36.09
- space group = P4/mmm
- theoretical density (g/cm³) = 2.276

=====

It is version a that is the least stable of them.

=====

Version a
First-principles (PBE) data for a relaxed structure of NaSb2ICl, as listed in the Alexandria database.

Lattice parameters (Å, degrees): 5.1724 5.1724 7.7023 90.00 90.00 90.00
Fractional positions:
Na (0.0000, 0.0000, 0.0000)
Sb (0.0000, 0.5000, 0.5000)
Sb (0.5000, 0.0000, 0.5000)
I (0.5000, 0.5000, 0.0000)
Cl (0.5000, 0.5000, 0.5000)

Computed properties:
- magnetic moment (μB per formula unit) = 0.00
- calculated volume (A^3/atom) = 41.21
- space group = P4/mmm
- theoretical density (g/cm³) = 3.456

=====

Version b
First-principles (PBE) data for a relaxed structure of NaSb2ICl, as listed in the Alexandria database.

Lattice parameters (Å, degrees): 5.5560 5.5560 5.5493 90.00 90.00 90.00
Fractional positions:
Na (0.0000, 0.0000, 0.0000)
Sb (0.0000, 0.5000, 0.0000)
Sb (0.5000, 0.0000, 0.0000)
I (0.0000, 0.0000, 0.5000)
Cl (0.5000, 0.5000, 0.5000)

Computed properties:
- magnetic moment (μB per formula unit) = 0.00
- calculated volume (A^3/atom) = 34.26
- space group = P4/mmm
- theoretical density (g/cm³) = 4.157

=====

It is version b that is the least stable of them.

=====

Version a
First-principles (PBE) data for a relaxed structure of NaSbI2Cl, as listed in the Alexandria database.

Lattice parameters (Å, degrees): 6.8868 6.8868 4.9164 90.00 90.00 90.00
Fractional positions:
Na (0.0000, 0.0000, 0.0000)
Sb (0.5000, 0.5000, 0.0000)
I (0.0000, 0.5000, 0.5000)
I (0.5000, 0.0000, 0.5000)
Cl (0.5000, 0.5000, 0.5000)

Computed properties:
- magnetic moment (μB per formula unit) = 0.00
- calculated volume (A^3/atom) = 46.63
- space group = P4/mmm
- theoretical density (g/cm³) = 3.091

=====

Version b
First-principles (PBE) data for a relaxed structure of NaSbI2Cl, as listed in the Alexandria database.

Lattice parameters (Å, degrees): 5.5738 5.5738 6.3323 90.00 90.00 90.00
Fractional positions:
Na (0.0000, 0.0000, 0.0000)
Sb (0.0000, 0.0000, 0.5000)
I (0.0000, 0.5000, 0.0000)
I (0.5000, 0.0000, 0.0000)
Cl (0.5000, 0.5000, 0.5000)

Computed properties:
- magnetic moment (μB per formula unit) = 1.49
- calculated volume (A^3/atom) = 39.35
- space group = P4/mmm
- theoretical density (g/cm³) = 3.663

=====

It is version b that is the least stable of them.

=====

Version a
First-principles (PBE) data for a relaxed structure of NaTeI2Cl, as listed in the Alexandria database.

Lattice parameters (Å, degrees): 5.7247 5.7247 6.3278 90.00 90.00 90.00
Fractional positions:
Na (0.0000, 0.0000, 0.0000)
Te (0.0000, 0.0000, 0.5000)
I (0.0000, 0.5000, 0.0000)
I (0.5000, 0.0000, 0.0000)
Cl (0.5000, 0.5000, 0.5000)

Computed properties:
- magnetic moment (μB per formula unit) = 2.19
- calculated volume (A^3/atom) = 41.48
- space group = P4/mmm
- theoretical density (g/cm³) = 3.522

=====

Version b
First-principles (PBE) data for a relaxed structure of NaTeI2Cl, as listed in the Alexandria database.

Lattice parameters (Å, degrees): 5.9121 5.9121 5.4640 90.00 90.00 90.00
Fractional positions:
Na (0.0000, 0.0000, 0.0000)
Te (0.5000, 0.5000, 0.0000)
I (0.0000, 0.5000, 0.5000)
I (0.5000, 0.0000, 0.5000)
Cl (0.5000, 0.5000, 0.5000)

Computed properties:
- magnetic moment (μB per formula unit) = 0.00
- calculated volume (A^3/atom) = 38.20
- space group = P4/mmm
- theoretical density (g/cm³) = 3.824

=====

It is version a that is the least stable of them.

=====

Version a
First-principles (PBE) data for a relaxed structure of NbI3Cl, as listed in the Alexandria database.

Lattice parameters (Å, degrees): 7.3019 7.3019 7.6355 90.00 90.00 78.40
Fractional positions:
Nb (0.0040, 0.9960, 0.7500)
Nb (0.9960, 0.0040, 0.2500)
I (0.1879, 0.1879, 0.0000)
I (0.1879, 0.1879, 0.5000)
I (0.2981, 0.7019, 0.7500)
I (0.7019, 0.2981, 0.2500)
I (0.8121, 0.8121, 0.0000)
I (0.8121, 0.8121, 0.5000)
Cl (0.2498, 0.7502, 0.2500)
Cl (0.7502, 0.2498, 0.7500)

Computed properties:
- magnetic moment (μB per formula unit) = 0.29
- calculated volume (A^3/atom) = 39.88
- space group = Cmcm
- theoretical density (g/cm³) = 4.239

=====

Version b
First-principles (PBE) data for a relaxed structure of NbI3Cl, as listed in the Alexandria database.

Lattice parameters (Å, degrees): 5.6879 5.6879 5.6879 90.00 90.00 90.00
Fractional positions:
Nb (0.0000, 0.0000, 0.0000)
I (0.0000, 0.5000, 0.5000)
I (0.5000, 0.0000, 0.5000)
I (0.5000, 0.5000, 0.0000)
Cl (0.5000, 0.5000, 0.5000)

Computed properties:
- magnetic moment (μB per formula unit) = 3.59
- calculated volume (A^3/atom) = 36.80
- space group = Pm-3m
- theoretical density (g/cm³) = 4.594

=====

Version c
First-principles (PBE) data for a relaxed structure of NbI3Cl, as listed in the Alexandria database.

Lattice parameters (Å, degrees): 5.5079 5.5079 5.5079 90.00 90.00 90.00
Fractional positions:
Nb (0.0000, 0.0000, 0.0000)
I (0.0000, 0.0000, 0.5000)
I (0.0000, 0.5000, 0.0000)
I (0.5000, 0.0000, 0.0000)
Cl (0.5000, 0.5000, 0.5000)

Computed properties:
- magnetic moment (μB per formula unit) = 0.00
- calculated volume (A^3/atom) = 33.42
- space group = Pm-3m
- theoretical density (g/cm³) = 5.059

=====

It is version b that is the least stable of them.

=====

Version a
First-principles (PBE) data for a relaxed structure of NbICl, as listed in the Alexandria database.

Lattice parameters (Å, degrees): 6.6174 6.6174 5.1862 107.15 107.15 51.03
Fractional positions:
Nb (0.0889, 0.0889, 0.4017)
Nb (0.9111, 0.9111, 0.5983)
I (0.3565, 0.3565, 0.6039)
I (0.6435, 0.6435, 0.3961)
Cl (0.1224, 0.1224, 0.9066)
Cl (0.8776, 0.8776, 0.0934)

Computed properties:
- magnetic moment (μB per formula unit) = 1.01
- calculated volume (A^3/atom) = 27.81
- space group = C2/m
- theoretical density (g/cm³) = 5.080

=====

Version b
First-principles (PBE) data for a relaxed structure of NbICl, as listed in the Alexandria database.

Lattice parameters (Å, degrees): 8.3908 8.3908 6.3427 109.87 109.87 24.91
Fractional positions:
Nb (0.2419, 0.2419, 0.3272)
Nb (0.7581, 0.7581, 0.6728)
I (0.1420, 0.1420, 0.8302)
I (0.8580, 0.8580, 0.1698)
Cl (0.3676, 0.3676, 0.6795)
Cl (0.6324, 0.6324, 0.3205)

Computed properties:
- magnetic moment (μB per formula unit) = 0.00
- calculated volume (A^3/atom) = 29.39
- space group = C2/m
- theoretical density (g/cm³) = 4.808

=====

Version c
First-principles (PBE) data for a relaxed structure of NbICl, as listed in the Alexandria database.

Lattice parameters (Å, degrees): 7.0422 6.9752 8.9810 90.00 124.55 90.00
Fractional positions:
Nb (0.0740, 0.1524, 0.0685)
Nb (0.0740, 0.3476, 0.5685)
Nb (0.9260, 0.6524, 0.4315)
Nb (0.9260, 0.8476, 0.9315)
I (0.4175, 0.6392, 0.6490)
I (0.4175, 0.8608, 0.1490)
I (0.5825, 0.1392, 0.8510)
I (0.5825, 0.3608, 0.3510)
Cl (0.0822, 0.1288, 0.3499)
Cl (0.0822, 0.3712, 0.8499)
Cl (0.9178, 0.6288, 0.1501)
Cl (0.9178, 0.8712, 0.6501)

Computed properties:
- magnetic moment (μB per formula unit) = 0.15
- calculated volume (A^3/atom) = 30.28
- space group = P2_1/c
- theoretical density (g/cm³) = 4.666

=====

It is version c that is the least stable of them.